# TaNi3 | the Alexandria database | PBE | relaxed
data_TaNi3
_chemical_formula_sum 'Ta2 Ni6'
_space_group_name_H-M_alt 'P m -3 n'
_space_group_IT_number 223
_space_group_name_Hall '-P 4n 2 3'
_cell_length_a 4.658
_cell_length_b 4.658
_cell_length_c 4.658
_cell_angle_alpha 90.00
_cell_angle_beta 90.00
_cell_angle_gamma 90.00
loop_
_atom_site_label
_atom_site_fract_x
_atom_site_fract_y
_atom_site_fract_z
_atom_site_occupancy
Ta1 0.000 0.000 0.000 1
Ni1 0.000 0.250 0.500 1
# Energy of formation: -6.5 kcal/mol of atoms
# VASP energy: -60.655 eV/cell
# Crystal system: cubic